Computed, not measured: crystalline Mn3Tl4AgF12 at its relaxed geometry at the PBE+U level of DFT.

Values from the calculation:
The calculation puts the total energy at -5.001 eV per atom.

abc: 8.688 8.688 8.688
angles: 90.00 90.00 90.00
Space group Im-3m (No. 229)
Inequivalent atoms, fractional coordinates:
Mn 0.000 0.000 0.500 (multiplicity 6)
Tl 0.250 0.250 0.250 (multiplicity 8)
Ag 0.000 0.000 0.000 (multiplicity 2)
F 0.000 0.000 0.269 (multiplicity 12)
F 0.000 0.250 0.500 (multiplicity 12)